The following is a DFT calculation (PBE) of crystalline CaTcO3 at its relaxed geometry.

```
CaTcO3
1.0
5.494 -0.017 -0.012
2.672 4.800 -0.012
2.672 1.565 4.538
Ca Tc O
2 2 6
direct
0.742 0.742 0.742
0.242 0.242 0.242
0.994 0.994 0.994
0.494 0.494 0.494
0.329 0.745 0.160
0.745 0.160 0.329
0.160 0.329 0.745
0.245 0.829 0.660
0.660 0.245 0.829
0.829 0.660 0.245
```

Results
* D(E_F): 2.47 states/eV/f.u.

The following is a DFT calculation (PBE) of crystalline Ca3TcO6 at its relaxed geometry.

```
Ca3TcO6
1.0
-1.057 6.478 0.164
-6.250 -1.270 1.558
1.807 -0.076 6.312
Ca Tc O
6 2 12
direct
0.434 0.930 0.745
0.930 0.745 0.434
0.255 0.566 0.070
0.745 0.434 0.930
0.070 0.255 0.566
0.566 0.070 0.255
0.000 0.000 0.000
0.500 0.500 0.500
0.282 0.939 0.070
0.061 0.930 0.718
0.577 0.783 0.452
0.930 0.718 0.061
0.452 0.577 0.783
0.217 0.548 0.423
0.783 0.452 0.577
0.548 0.423 0.217
0.070 0.282 0.939
0.423 0.217 0.548
0.939 0.070 0.282
0.718 0.061 0.930
```

Results
* D(E_F): 5.66 states/eV/f.u.
* energy above the lowest structure with this stoichiometry: 0.000 eV per atom

Electronic total energy per entry: -74.753, -140.488 eV for the cell shown
Total moment per entry: 0.38, 0.10 μB/atom
ΔE_f (raw) per entry: -10.13, -24.12 eV/f.u.